(1)
DFT (PBE-GGA) results for a relaxed Li2CdAu3 crystal.

Computed properties:
offset from the most stable computed form: 77 meV per atom
VASP energy: -0.10219 Ha/atom
magnetic moment: 0.00 Bohr magnetons per cell
crystal system: orthorhombic
volume: 224 Å³/cell
energy of formation from the pure elements: -351.6 meV/atom

abc: 6.4199 6.4199 5.5352
angles: 90.00 90.00 79.45
Atoms (fractional coordinates):
Li (0.0760, 0.6162, 0.7500)
Li (0.3838, 0.9240, 0.7500)
Li (0.6162, 0.0760, 0.2500)
Li (0.9240, 0.3838, 0.2500)
Cd (0.3151, 0.6849, 0.2500)
Cd (0.6849, 0.3151, 0.7500)
Au (0.0000, 0.0000, 0.0000)
Au (0.0000, 0.0000, 0.5000)
Au (0.2912, 0.2912, 0.0000)
Au (0.2912, 0.2912, 0.5000)
Au (0.7088, 0.7088, 0.0000)
Au (0.7088, 0.7088, 0.5000)

(2)
DFT (PBE-GGA) results for a relaxed ThPa2B crystal.

Computed properties:
VASP energy: -0.29728 Ha/atom
magnetic moment: 0.00 Bohr magnetons per cell
crystal system: trigonal
volume: 96 Å³/cell
energy of formation from the pure elements: 182.8 meV/atom

abc: 9.7198 9.7198 9.7198
angles: 20.23 20.23 20.23
Atoms (fractional coordinates):
Th (0.0000, 0.0000, 0.0000)
Pa (0.1138, 0.1138, 0.1138)
Pa (0.8862, 0.8862, 0.8862)
B (0.5000, 0.5000, 0.5000)

(3)
DFT (PBE-GGA) results for a relaxed TaTe2CN crystal.

Computed properties:
offset from the most stable computed form: 126 meV per atom
VASP energy: -0.21046 Ha/atom
magnetic moment: 0.65 Bohr magnetons per cell
crystal system: tetragonal
volume: 117 Å³/cell

abc: 5.4831 5.4831 3.8914
angles: 90.00 90.00 90.00
Atoms (fractional coordinates):
Ta (0.0000, 0.0000, 0.0000)
Te (0.0000, 0.5000, 0.0000)
Te (0.5000, 0.0000, 0.0000)
C (0.5000, 0.5000, 0.5000)
N (0.0000, 0.0000, 0.5000)

(4)
DFT (PBE-GGA) results for a relaxed LiCd4Os crystal.

Computed properties:
VASP energy: -0.08299 Ha/atom
magnetic moment: 1.17 Bohr magnetons per cell
crystal system: cubic
volume: 120 Å³/cell
energy of formation from the pure elements: 542.4 meV/atom

abc: 5.5310 5.5310 5.5310
angles: 60.00 60.00 60.00
Atoms (fractional coordinates):
Li (0.0000, 0.0000, 0.0000)
Cd (0.3754, 0.3754, 0.3754)
Cd (0.3754, 0.3754, 0.8738)
Cd (0.3754, 0.8738, 0.3754)
Cd (0.8738, 0.3754, 0.3754)
Os (0.7500, 0.7500, 0.7500)

(5)
DFT (PBE-GGA) results for a relaxed LaEuHoMg crystal.

Computed properties:
VASP energy: -0.19411 Ha/atom
magnetic moment: 7.28 Bohr magnetons per cell
crystal system: cubic
volume: 130 Å³/cell
energy of formation from the pure elements: 61.6 meV/atom

abc: 5.6875 5.6875 5.6875
angles: 60.00 60.00 60.00
Atoms (fractional coordinates):
La (0.0000, 0.0000, 0.0000)
Eu (0.2500, 0.2500, 0.2500)
Ho (0.5000, 0.5000, 0.5000)
Mg (0.7500, 0.7500, 0.7500)

(6)
DFT (PBE-GGA) results for a relaxed Ca2SbPt crystal.

Computed properties:
VASP energy: -0.15596 Ha/atom
magnetic moment: 0.00 Bohr magnetons per cell
crystal system: trigonal
volume: 113 Å³/cell

abc: 8.3072 8.3072 8.3072
angles: 28.18 28.18 28.18
Atoms (fractional coordinates):
Ca (0.2387, 0.2387, 0.2387)
Ca (0.7613, 0.7613, 0.7613)
Sb (0.0000, 0.0000, 0.0000)
Pt (0.5000, 0.5000, 0.5000)

(7)
DFT (PBE-GGA) results for a relaxed RhSN crystal.

Computed properties:
offset from the most stable computed form: 656 meV per atom
VASP energy: -0.22418 Ha/atom
magnetic moment: 0.00 Bohr magnetons per cell
crystal system: monoclinic
volume: 89 Å³/cell

abc: 4.2993 4.2993 5.4295
angles: 95.78 95.78 62.63
Atoms (fractional coordinates):
Rh (0.0179, 0.0179, 0.2527)
Rh (0.9821, 0.9821, 0.7473)
S (0.0000, 0.5000, 0.0000)
S (0.5000, 0.0000, 0.0000)
N (0.4690, 0.4690, 0.5950)
N (0.5310, 0.5310, 0.4050)

(8)
DFT (PBE-GGA) results for a relaxed Sc3CuTc crystal.

Computed properties:
offset from the most stable computed form: 821 meV per atom
VASP energy: -0.22376 Ha/atom
magnetic moment: 1.08 Bohr magnetons per cell
crystal system: cubic
volume: 111 Å³/cell
energy of formation from the pure elements: 602.5 meV/atom

abc: 4.7993 4.7993 4.7993
angles: 90.00 90.00 90.00
Atoms (fractional coordinates):
Sc (0.0000, 0.0000, 0.5000)
Sc (0.0000, 0.5000, 0.0000)
Sc (0.5000, 0.0000, 0.0000)
Cu (0.0000, 0.0000, 0.0000)
Tc (0.5000, 0.5000, 0.5000)

(9)
DFT (PBE-GGA) results for a relaxed Y2InTcH crystal.

Computed properties:
VASP energy: -0.22712 Ha/atom
magnetic moment: 0.00 Bohr magnetons per cell
crystal system: tetragonal
volume: 95 Å³/cell

abc: 5.0878 5.0878 3.6794
angles: 90.00 90.00 90.00
Atoms (fractional coordinates):
Y (0.0000, 0.5000, 0.0000)
Y (0.5000, 0.0000, 0.0000)
In (0.0000, 0.0000, 0.5000)
Tc (0.5000, 0.5000, 0.5000)
H (0.5000, 0.5000, 0.0000)

(10)
DFT (PBE-GGA) results for a relaxed Cu3Pt2 crystal.

Computed properties:
offset from the most stable computed form: 155 meV per atom
VASP energy: -0.17933 Ha/atom
magnetic moment: 0.00 Bohr magnetons per cell
crystal system: trigonal
volume: 72 Å³/cell
energy of formation from the pure elements: -5.7 meV/atom

abc: 4.5177 4.5177 4.5177
angles: 64.59 64.59 64.59
Atoms (fractional coordinates):
Cu (0.0000, 0.5000, 0.5000)
Cu (0.5000, 0.0000, 0.5000)
Cu (0.5000, 0.5000, 0.0000)
Pt (0.1260, 0.1260, 0.1260)
Pt (0.8740, 0.8740, 0.8740)

(11)
DFT (PBE-GGA) results for a relaxed KTl2SnRu crystal.

Computed properties:
offset from the most stable computed form: 1435 meV per atom
VASP energy: -0.08608 Ha/atom
magnetic moment: 0.00 Bohr magnetons per cell
crystal system: tetragonal
volume: 161 Å³/cell
energy of formation from the pure elements: 1479.5 meV/atom

abc: 5.8382 5.8382 4.7312
angles: 90.00 90.00 90.00
Atoms (fractional coordinates):
K (0.0000, 0.0000, 0.0000)
Tl (0.0000, 0.5000, 0.0000)
Tl (0.5000, 0.0000, 0.0000)
Sn (0.5000, 0.5000, 0.5000)
Ru (0.0000, 0.0000, 0.5000)

(12)
DFT (PBE-GGA) results for a relaxed TaNi2Mo crystal.

Computed properties:
offset from the most stable computed form: 101 meV per atom
VASP energy: -0.31576 Ha/atom
magnetic moment: 0.00 Bohr magnetons per cell
crystal system: monoclinic
volume: 56 Å³/cell
energy of formation from the pure elements: -30.7 meV/atom

abc: 4.6266 4.6266 4.7551
angles: 100.00 100.00 33.95
Atoms (fractional coordinates):
Ta (0.0000, 0.0000, 0.0000)
Ni (0.4856, 0.4856, 0.4809)
Ni (0.7522, 0.7522, 0.2067)
Mo (0.2344, 0.2344, 0.6729)

(13)
DFT (PBE-GGA) results for a relaxed Hg4SbAsI2 crystal.

Computed properties:
VASP energy: -0.06408 Ha/atom
magnetic moment: 0.00 Bohr magnetons per cell
crystal system: monoclinic
volume: 614 Å³/cell

abc: 9.3306 9.3306 11.3736
angles: 126.84 126.84 58.73
Atoms (fractional coordinates):
Hg (0.0206, 0.0206, 0.2874)
Hg (0.0602, 0.4706, 0.7943)
Hg (0.4692, 0.1651, 0.6857)
Hg (0.4922, 0.2396, 0.0544)
Hg (0.5294, 0.9398, 0.2057)
Hg (0.7604, 0.5078, 0.9456)
Hg (0.8349, 0.5308, 0.3143)
Hg (0.9794, 0.9794, 0.7126)
Sb (0.6675, 0.2403, 0.6299)
Sb (0.7597, 0.3325, 0.3701)
As (0.2593, 0.1425, 0.7513)
As (0.8575, 0.7407, 0.2487)
I (0.1956, 0.1966, 0.1460)
I (0.2459, 0.6503, 0.7187)
I (0.3497, 0.7541, 0.2813)
I (0.8034, 0.8044, 0.8540)

(14)
DFT (PBE-GGA) results for a relaxed Tm3ThO crystal.

Computed properties:
VASP energy: -0.22788 Ha/atom
magnetic moment: 0.00 Bohr magnetons per cell
crystal system: cubic
volume: 117 Å³/cell

abc: 4.8935 4.8935 4.8935
angles: 90.00 90.00 90.00
Atoms (fractional coordinates):
Tm (0.0000, 0.0000, 0.5000)
Tm (0.0000, 0.5000, 0.0000)
Tm (0.5000, 0.0000, 0.0000)
Th (0.5000, 0.5000, 0.5000)
O (0.0000, 0.0000, 0.0000)

(15)
DFT (PBE-GGA) results for a relaxed HfCd2Pb crystal.

Computed properties:
VASP energy: -0.13124 Ha/atom
magnetic moment: 0.00 Bohr magnetons per cell
crystal system: tetragonal
volume: 201 Å³/cell
energy of formation from the pure elements: 301.9 meV/atom

abc: 6.5364 6.5364 6.5364
angles: 101.90 101.90 125.99
Atoms (fractional coordinates):
Hf (0.0000, 0.0000, 0.0000)
Hf (0.7500, 0.2500, 0.5000)
Cd (0.1224, 0.6250, 0.9974)
Cd (0.3750, 0.3724, 0.4974)
Cd (0.6276, 0.1250, 0.0026)
Cd (0.8750, 0.8776, 0.5026)
Pb (0.2500, 0.7500, 0.5000)
Pb (0.5000, 0.5000, 0.0000)

(16)
DFT (PBE-GGA) results for a relaxed Ca4LaDy3Se8 crystal.

Computed properties:
VASP energy: -0.19493 Ha/atom
magnetic moment: 0.00 Bohr magnetons per cell
crystal system: trigonal
volume: 409 Å³/cell

abc: 8.3823 8.3823 8.3823
angles: 59.22 59.22 59.22
Atoms (fractional coordinates):
Ca (0.0000, 0.0000, 0.0000)
Ca (0.0000, 0.5000, 0.5000)
Ca (0.5000, 0.0000, 0.5000)
Ca (0.5000, 0.5000, 0.0000)
La (0.5000, 0.5000, 0.5000)
Dy (0.0000, 0.0000, 0.5000)
Dy (0.0000, 0.5000, 0.0000)
Dy (0.5000, 0.0000, 0.0000)
Se (0.2414, 0.7546, 0.7546)
Se (0.2454, 0.2454, 0.7586)
Se (0.2454, 0.7586, 0.2454)
Se (0.2481, 0.2481, 0.2481)
Se (0.7519, 0.7519, 0.7519)
Se (0.7546, 0.2414, 0.7546)
Se (0.7546, 0.7546, 0.2414)
Se (0.7586, 0.2454, 0.2454)

(17)
DFT (PBE-GGA) results for a relaxed TlTcBr2 crystal.

Computed properties:
offset from the most stable computed form: 155 meV per atom
VASP energy: -0.14078 Ha/atom
magnetic moment: 2.22 Bohr magnetons per cell
crystal system: monoclinic
volume: 110 Å³/cell

abc: 3.4051 3.4366 9.4239
angles: 90.00 90.07 90.00
Atoms (fractional coordinates):
Tl (0.0000, 0.0000, 0.0000)
Tc (0.5000, 0.0000, 0.5000)
Br (0.4998, 0.5000, 0.3017)
Br (0.5002, 0.5000, 0.6983)

(18)
DFT (PBE-GGA) results for a relaxed AsPtW2 crystal.

Computed properties:
VASP energy: -0.33109 Ha/atom
magnetic moment: 0.00 Bohr magnetons per cell
crystal system: monoclinic
volume: 63 Å³/cell
energy of formation from the pure elements: 139.7 meV/atom

abc: 4.9753 4.9753 4.6551
angles: 106.59 106.59 35.07
Atoms (fractional coordinates):
As (0.0000, 0.0000, 0.0000)
Pt (0.2654, 0.2654, 0.6549)
W (0.5213, 0.5213, 0.5077)
W (0.7317, 0.7317, 0.1358)

(19)
DFT (PBE-GGA) results for a relaxed TaReHRu2 crystal.

Computed properties:
offset from the most stable computed form: 10 meV per atom
VASP energy: -0.34313 Ha/atom
magnetic moment: 0.00 Bohr magnetons per cell
crystal system: tetragonal
volume: 62 Å³/cell

abc: 3.9414 3.9414 4.0205
angles: 90.00 90.00 90.00
Atoms (fractional coordinates):
Ta (0.0000, 0.0000, 0.0000)
Re (0.5000, 0.5000, 0.0000)
H (0.0000, 0.0000, 0.5000)
Ru (0.0000, 0.5000, 0.5000)
Ru (0.5000, 0.0000, 0.5000)

(20)
DFT (PBE-GGA) results for a relaxed Sm4Ni3Ge crystal.

Computed properties:
VASP energy: -0.20525 Ha/atom
magnetic moment: 0.00 Bohr magnetons per cell
crystal system: orthorhombic
volume: 177 Å³/cell
energy of formation from the pure elements: -480.3 meV/atom

abc: 4.0057 4.2318 10.4670
angles: 90.00 90.00 90.00
Atoms (fractional coordinates):
Sm (0.0000, 0.0000, 0.0000)
Sm (0.0000, 0.5000, 0.2709)
Sm (0.5000, 0.0000, 0.4837)
Sm (0.5000, 0.5000, 0.7736)
Ni (0.0000, 0.5000, 0.5585)
Ni (0.5000, 0.0000, 0.2009)
Ni (0.5000, 0.5000, 0.0680)
Ge (0.0000, 0.0000, 0.7014)